(1)
! Pr2TmTl, optimized geometry, DFT PBE; values from VASP
! formation energy: -190 meV/atom
! calculated density: 8.9 g/cm³
! total energy: -4.29 eV per atom
! distance to the lowest polymorph of the same formula: 0.000 eV per atom
&SYSTEM
  ibrav = 0, nat = 4, ntyp = 3
/
ATOMIC_SPECIES
Pr 140.91 Pr.upf
Tm 168.93 Tm.upf
Tl 204.38 Tl.upf
CELL_PARAMETERS angstrom
4.9232 0.0000 0.0000
0.0000 4.9232 0.0000
0.0000 0.0000 5.0368
ATOMIC_POSITIONS crystal
Pr 0.0000 0.5000 0.0000
Pr 0.5000 0.0000 0.0000
Tm 0.0000 0.0000 0.5000
Tl 0.5000 0.5000 0.5000



(2)
! LiSn3Pd, optimized geometry, DFT PBE; values from VASP
! formation energy: -302 meV/atom
! calculated density: 6.7 g/cm³
! total energy: -4.13 eV per atom
! distance to the lowest polymorph of the same formula: 0.000 eV per atom
&SYSTEM
  ibrav = 0, nat = 10, ntyp = 3
/
ATOMIC_SPECIES
Li 6.94 Li.upf
Sn 118.71 Sn.upf
Pd 106.42 Pd.upf
CELL_PARAMETERS angstrom
4.7291 0.0000 0.0000
0.0000 9.0634 0.0000
-1.8574 0.0000 5.4256
ATOMIC_POSITIONS crystal
Li 0.1644 0.2500 0.3163
Li 0.8356 0.7500 0.6837
Sn 0.0636 0.7500 0.2353
Sn 0.3402 0.5154 0.6933
Sn 0.3402 0.9846 0.6933
Sn 0.6598 0.0154 0.3067
Sn 0.6598 0.4846 0.3067
Sn 0.9364 0.2500 0.7647
Pd 0.4664 0.7500 0.0042
Pd 0.5336 0.2500 0.9958



(3)
! AcZnRh2, optimized geometry, DFT PBE; values from VASP
! formation energy: -291 meV/atom
! calculated density: 10.7 g/cm³
! total energy: -5.31 eV per atom
&SYSTEM
  ibrav = 0, nat = 4, ntyp = 3
/
ATOMIC_SPECIES
Ac 227.00 Ac.upf
Zn 65.41 Zn.upf
Rh 102.91 Rh.upf
CELL_PARAMETERS angstrom
3.3978 0.0000 0.0000
0.0000 3.3978 0.0000
0.0000 0.0000 6.7217
ATOMIC_POSITIONS crystal
Ac 0.0000 0.0000 0.0000
Zn 0.0000 0.0000 0.5000
Rh 0.5000 0.5000 0.2978
Rh 0.5000 0.5000 0.7022